Record 1
A plane-wave DFT calculation with GGA-PBEsol was carried out for a geometry-optimized TePtS2Cl structure.

```
TePtS2Cl
1.0
4.916 0.000 0.000
0.000 4.988 0.000
0.000 0.000 4.988
Te Pt S Cl
1 1 2 1
Direct
0.000 0.000 0.000 Te
0.500 0.500 0.500 Pt
0.000 0.000 0.500 S
0.000 0.500 0.000 S
0.500 0.000 0.000 Cl
```

Properties
symmetry: No. 123
calculated volume: 24.46 Å³/atom
E_tot: -3.17 eV per atom

Record 2
A plane-wave DFT calculation with GGA-PBEsol was carried out for a geometry-optimized TiPt2SCl structure.

```
TiPt2SCl
1.0
4.399 0.000 0.000
0.000 4.501 0.000
0.000 0.000 4.501
Pt S Cl Ti
2 1 1 1
Direct
0.000 0.000 0.500 Pt
0.000 0.500 0.000 Pt
0.500 0.500 0.500 S
0.000 0.000 0.000 Cl
0.500 0.000 0.000 Ti
```

Properties
symmetry: No. 123
calculated volume: 17.83 Å³/atom
E_tot: -5.00 eV per atom

Record 3
A plane-wave DFT calculation with GGA-PBEsol was carried out for a geometry-optimized ZrPtS2Cl structure.

```
ZrPtS2Cl
1.0
4.566 0.000 0.000
0.000 4.669 0.000
0.000 0.000 4.669
Zr Cl S Pt
1 1 2 1
Direct
0.500 0.500 0.500 Zr
0.500 0.000 0.000 Cl
0.000 0.000 0.500 S
0.000 0.500 0.000 S
0.000 0.000 0.000 Pt
```

Properties
symmetry: No. 123
calculated volume: 19.91 Å³/atom
excess energy over the best structure of this formula in the dataset: 0.044 eV per atom

Record 4
A plane-wave DFT calculation with GGA-PBEsol was carried out for a geometry-optimized ZrPtS2Cl structure.

```
ZrPtS2Cl
1.0
-3.480 1.286 2.980
-3.343 -1.680 -3.180
0.192 -4.419 2.132
S Pt Zr Cl
2 1 1 1
Direct
0.000 0.000 0.500 S
0.000 0.500 0.000 S
0.500 0.500 0.500 Pt
0.000 0.000 0.000 Zr
0.500 0.000 0.000 Cl
```

Properties
symmetry: No. 123
calculated volume: 22.94 Å³/atom
excess energy over the best structure of this formula in the dataset: 0.000 eV per atom

Record 5
A plane-wave DFT calculation with GGA-PBEsol was carried out for a geometry-optimized SbPtCl2 structure.

```
SbPtCl2
1.0
3.770 0.000 0.000
1.885 3.265 0.000
1.885 1.088 7.638
Sb Cl Pt
1 2 1
Direct
0.233 0.233 0.300 Sb
0.983 0.983 0.051 Cl
0.778 0.778 0.667 Cl
0.506 0.506 0.483 Pt
```

Properties
symmetry: No. 160
calculated volume: 23.50 Å³/atom
excess energy over the best structure of this formula in the dataset: 0.000 eV per atom

Record 6
A plane-wave DFT calculation with GGA-PBEsol was carried out for a geometry-optimized SbPtCl2 structure.

```
SbPtCl2
1.0
4.245 0.000 0.000
0.000 4.256 0.000
0.000 0.000 4.256
Cl Pt Sb
2 1 1
Direct
0.000 0.000 0.500 Cl
0.000 0.500 0.000 Cl
0.500 0.500 0.500 Pt
0.500 0.000 0.000 Sb
```

Properties
symmetry: No. 123
calculated volume: 19.22 Å³/atom
excess energy over the best structure of this formula in the dataset: 0.823 eV per atom